Here is crystalline Dy2Co3Si5 at its relaxed geometry from Alexandria via LeMat-Bulk. Energies are from GGA-PBE.

Computed properties:
The value obtained for the density is 7.200 g/cm3. The calculation puts the uncorrected formation energy at -777 meV per atom. As for the crystal system: monoclinic. The total magnetization comes out at 0.7 μB per cell.

Unit cell a=7.8428 b=7.8428 c=5.4983 alpha=70.80 beta=70.80 gamma=93.43
Closest atoms and distances in Å follow each position.
Positions (direct):
Dy 0.5981 0.8695 0.2636  10 Si 2.86-3.15, 4 Co 2.95-3.15
Dy 0.4019 0.1305 0.7364  10 Si 2.86-3.15, 4 Co 2.95-3.15
Dy 0.1305 0.4019 0.2364  10 Si 2.86-3.15, 4 Co 2.95-3.15
Dy 0.8695 0.5981 0.7636  10 Si 2.86-3.15, 4 Co 2.95-3.15
Co 0.9963 0.0037 0.2500  5 Si 2.33-2.41
Co 0.5391 0.2628 0.1262  5 Si 2.26-2.36
Co 0.0037 0.9963 0.7500  5 Si 2.33-2.41
Co 0.4609 0.7372 0.8738  5 Si 2.26-2.36
Co 0.2628 0.5391 0.6262  5 Si 2.26-2.36
Co 0.7372 0.4609 0.3738  5 Si 2.26-2.36
Si 0.7855 0.2145 0.2500  3 Co 2.26-2.41, 2 Si 2.48
Si 0.9365 0.7379 0.1651  3 Co 2.29-2.37, 2 Si 2.48-2.51
Si 0.0635 0.2621 0.8349  3 Co 2.29-2.37, 2 Si 2.48-2.51
Si 0.4886 0.5114 0.2500  4 Co 2.28-2.32
Si 0.2145 0.7855 0.7500  3 Co 2.26-2.41, 2 Si 2.48
Si 0.2297 0.7703 0.2500  2 Co 2.36, 2 Si 2.51
Si 0.5114 0.4886 0.7500  4 Co 2.28-2.32
Si 0.2621 0.0635 0.3349  3 Co 2.29-2.37, 2 Si 2.48-2.51
Si 0.7379 0.9365 0.6651  3 Co 2.29-2.37, 2 Si 2.48-2.51
Si 0.7703 0.2297 0.7500  2 Co 2.36, 2 Si 2.51